The following is a DFT calculation (PBE+U) of Li4Ti3MnO8 after structural relaxation. Values from VASP.

Results
DFT total energy ... -7.242 eV per atom

The structure in Quantum ESPRESSO input format:
```
&SYSTEM
  ibrav = 0, nat = 16, ntyp = 4
/
ATOMIC_SPECIES
Li 6.94 Li.upf
Ti 47.87 Ti.upf
Mn 54.94 Mn.upf
O 16.00 O.upf
CELL_PARAMETERS angstrom
2.9393 1.6970 4.9429
-2.9393 1.6970 4.9429
0.0000 -3.3940 4.9429
ATOMIC_POSITIONS crystal
Li 0.0000 0.0000 0.0000
Li 0.0000 0.5000 0.5000
Li 0.5000 0.0000 0.5000
Li 0.5000 0.5000 0.0000
Ti 0.0000 0.0000 0.5000
Ti 0.0000 0.5000 0.0000
Ti 0.5000 0.0000 0.0000
Mn 0.5000 0.5000 0.5000
O 0.2362 0.7481 0.7481
O 0.2455 0.2455 0.2455
O 0.2519 0.2519 0.7638
O 0.2519 0.7638 0.2519
O 0.7481 0.2362 0.7481
O 0.7481 0.7481 0.2362
O 0.7545 0.7545 0.7545
O 0.7638 0.2519 0.2519
```